DFT (PBE with a Hubbard U) results for crystalline Li5Mn3Sn2O10 at its relaxed geometry.

Geometry as extended XYZ:
```
20
Lattice="-4.735 3.563 -5.225 1.093 -4.582 -3.008 -3.096 -2.759 6.179" Properties=species:S:1:pos:R:3 pbc="T T T"
Li -4.950 0.138 -0.313
O -0.057 -3.636 -2.707
O -3.691 -1.074 0.925
Li -1.788 -3.917 -1.741
Li -0.615 -0.848 0.579
O -1.105 -2.676 0.768
O -1.312 -2.296 -0.671
Mn -5.390 -0.733 2.144
O -6.681 -0.143 0.653
Sn -2.936 -2.771 1.976
O -3.883 -4.169 0.790
O -5.633 -1.103 -2.822
O -5.426 -1.482 -1.383
Mn 0.547 -2.291 -1.504
O -3.047 -2.705 -2.979
Li -6.123 -2.930 -2.633
Sn -3.803 -1.008 -4.029
O -2.856 0.390 -2.843
Mn -1.348 -3.045 -4.198
Li -3.369 -1.889 -1.027
```

Calculated values
The space-group type is P-1. The calculation puts the total energy at -5.861 eV per atom. The calculation puts the size of the total moment at 13.98 μB/cell. Its density is 3.6 g/cm³.